Material: Ac12HPb6
Method: DFT, PBE
State: optimized geometry

Geometry as CIF:
```
data_Ac12HPb6
_symmetry_space_group_name_H-M 'P 1'
_symmetry_Int_Tables_number 1
_symmetry_space_group_name_Hall 'P 1'
_cell_length_a 9.413
_cell_length_b 9.413
_cell_length_c 9.413
_cell_angle_alpha 99.98
_cell_angle_beta 99.98
_cell_angle_gamma 99.98
loop_
_atom_site_label
_atom_site_type_symbol
_atom_site_fract_x
_atom_site_fract_y
_atom_site_fract_z
Ac1 Ac 0.811 0.578 0.449
Ac2 Ac 0.449 0.811 0.578
Ac3 Ac 0.578 0.449 0.811
Ac4 Ac 0.189 0.422 0.551
Ac5 Ac 0.551 0.189 0.422
Ac6 Ac 0.422 0.551 0.189
Ac7 Ac 0.067 0.988 0.309
Ac8 Ac 0.012 0.691 0.933
Ac9 Ac 0.691 0.933 0.012
Ac10 Ac 0.933 0.012 0.691
Ac11 Ac 0.988 0.309 0.067
Ac12 Ac 0.309 0.067 0.988
H1 H 0.000 0.000 0.000
Pb1 Pb 0.698 0.879 0.356
Pb2 Pb 0.644 0.302 0.121
Pb3 Pb 0.121 0.644 0.302
Pb4 Pb 0.302 0.121 0.644
Pb5 Pb 0.356 0.698 0.879
Pb6 Pb 0.879 0.356 0.698
```

## Properties
The calculated volume comes out at 41.6 Å³/atom. The total DFT energy (no corrections) comes out at -0.3069 Ry per atom. The space group is R-3 (148).

***

Material: TbGdAlPb
Method: DFT, PBE
State: optimized geometry

Geometry as CIF:
```
data_TbGdAlPb
_symmetry_space_group_name_H-M 'P 1'
_symmetry_Int_Tables_number 1
_symmetry_space_group_name_Hall 'P 1'
_cell_length_a 5.323
_cell_length_b 5.323
_cell_length_c 5.323
_cell_angle_alpha 60.00
_cell_angle_beta 60.00
_cell_angle_gamma 60.00
loop_
_atom_site_label
_atom_site_type_symbol
_atom_site_fract_x
_atom_site_fract_y
_atom_site_fract_z
Pb1 Pb 0.500 0.500 0.500
Gd1 Gd 0.250 0.250 0.250
Tb1 Tb 0.750 0.750 0.750
Al1 Al 0.000 0.000 0.000
```

## Properties
As for the energy of formation: -0.352 eV/atom. The calculated volume comes out at 26.7 Å³/atom. The space group is F-43m (216).

***

Material: RbNb2Hg2O7
Method: DFT, PBE
State: optimized geometry

Geometry as CIF:
```
data_RbNb2Hg2O7
_symmetry_space_group_name_H-M 'P 1'
_symmetry_Int_Tables_number 1
_symmetry_space_group_name_Hall 'P 1'
_cell_length_a 6.368
_cell_length_b 6.368
_cell_length_c 9.313
_cell_angle_alpha 70.01
_cell_angle_beta 70.01
_cell_angle_gamma 60.00
loop_
_atom_site_label
_atom_site_type_symbol
_atom_site_fract_x
_atom_site_fract_y
_atom_site_fract_z
Rb1 Rb 0.500 0.500 0.500
Nb1 Nb 0.924 0.924 0.227
Nb2 Nb 0.076 0.076 0.773
Hg1 Hg 0.777 0.777 0.668
Hg2 Hg 0.223 0.223 0.332
O1 O 0.165 0.915 0.302
O2 O 0.618 0.165 0.302
O3 O 0.915 0.618 0.302
O4 O 0.382 0.085 0.698
O5 O 0.835 0.382 0.698
O6 O 0.000 0.000 0.000
O7 O 0.085 0.835 0.698
```

## Properties
The calculated volume comes out at 25.0 Å³/atom. The calculation puts the energy relative to the elements, uncorrected at -19.88 eV/f.u. The space group is R32 (155).

***

Material: Pr8Ho2Pb
Method: DFT, PBE
State: optimized geometry

Geometry as CIF:
```
data_Pr8Ho2Pb
_symmetry_space_group_name_H-M 'P 1'
_symmetry_Int_Tables_number 1
_symmetry_space_group_name_Hall 'P 1'
_cell_length_a 5.068
_cell_length_b 8.211
_cell_length_c 9.657
_cell_angle_alpha 105.02
_cell_angle_beta 105.21
_cell_angle_gamma 90.00
loop_
_atom_site_label
_atom_site_type_symbol
_atom_site_fract_x
_atom_site_fract_y
_atom_site_fract_z
Pr1 Pr 0.591 0.443 0.183
Pr2 Pr 0.322 0.093 0.644
Pr3 Pr 0.139 0.181 0.277
Pr4 Pr 0.044 0.731 0.088
Pr5 Pr 0.861 0.819 0.723
Pr6 Pr 0.678 0.907 0.356
Pr7 Pr 0.409 0.557 0.817
Pr8 Pr 0.956 0.269 0.912
Ho1 Ho 0.225 0.632 0.449
Ho2 Ho 0.775 0.368 0.551
Pb1 Pb 0.500 0.000 0.000
```

## Properties
As for the energy of formation: -0.082 eV/atom. The calculated volume comes out at 34.0 Å³/atom. The space group is C2/m (12).

***

Material: CsInP2S
Method: DFT, PBE
State: optimized geometry

Geometry as CIF:
```
data_CsInP2S
_symmetry_space_group_name_H-M 'P 1'
_symmetry_Int_Tables_number 1
_symmetry_space_group_name_Hall 'P 1'
_cell_length_a 5.909
_cell_length_b 5.909
_cell_length_c 5.800
_cell_angle_alpha 90.00
_cell_angle_beta 90.00
_cell_angle_gamma 90.00
loop_
_atom_site_label
_atom_site_type_symbol
_atom_site_fract_x
_atom_site_fract_y
_atom_site_fract_z
Cs1 Cs 0.000 0.000 0.000
P1 P 0.000 0.500 0.000
P2 P 0.500 0.000 0.000
S1 S 0.000 0.000 0.500
In1 In 0.500 0.500 0.500
```

## Properties
The calculated volume comes out at 40.5 Å³/atom. The calculation puts the energy relative to the elements, uncorrected at 7.47 eV/f.u. The space group is P4/mmm (123). Its energy above the most stable polymorph in this dataset is 1110 meV per atom.

***

Material: SmErNi3
Method: DFT, PBE
State: optimized geometry

Geometry as CIF:
```
data_SmErNi3
_symmetry_space_group_name_H-M 'P 1'
_symmetry_Int_Tables_number 1
_symmetry_space_group_name_Hall 'P 1'
_cell_length_a 3.989
_cell_length_b 3.882
_cell_length_c 12.200
_cell_angle_alpha 99.16
_cell_angle_beta 90.00
_cell_angle_gamma 90.00
loop_
_atom_site_label
_atom_site_type_symbol
_atom_site_fract_x
_atom_site_fract_y
_atom_site_fract_z
Sm1 Sm 0.250 0.072 0.144
Sm2 Sm 0.750 0.928 0.856
Er1 Er 0.250 0.796 0.591
Er2 Er 0.750 0.204 0.409
Ni1 Ni 0.250 0.378 0.756
Ni2 Ni 0.750 0.622 0.244
Ni3 Ni 0.250 0.475 0.950
Ni4 Ni 0.750 0.525 0.050
Ni5 Ni 0.750 0.324 0.648
Ni6 Ni 0.250 0.676 0.352
```

## Properties
As for the energy of formation: -0.407 eV/atom. The calculated volume comes out at 18.7 Å³/atom. The space group is Cmcm (63).

***

Material: La2BeAuS
Method: DFT, PBE
State: optimized geometry

Geometry as CIF:
```
data_La2BeAuS
_symmetry_space_group_name_H-M 'P 1'
_symmetry_Int_Tables_number 1
_symmetry_space_group_name_Hall 'P 1'
_cell_length_a 5.430
_cell_length_b 5.430
_cell_length_c 4.241
_cell_angle_alpha 90.00
_cell_angle_beta 90.00
_cell_angle_gamma 90.00
loop_
_atom_site_label
_atom_site_type_symbol
_atom_site_fract_x
_atom_site_fract_y
_atom_site_fract_z
Be1 Be 0.000 0.000 0.000
S1 S 0.500 0.500 0.500
Au1 Au 0.000 0.000 0.500
La1 La 0.000 0.500 0.000
La2 La 0.500 0.000 0.000
```

## Properties
The calculated volume comes out at 25.0 Å³/atom. The calculation puts the energy relative to the elements, uncorrected at -2.89 eV/f.u. The space group is P4/mmm (123).

***

Material: CeZn2Sn
Method: DFT, PBE
State: optimized geometry

Geometry as CIF:
```
data_CeZn2Sn
_symmetry_space_group_name_H-M 'P 1'
_symmetry_Int_Tables_number 1
_symmetry_space_group_name_Hall 'P 1'
_cell_length_a 4.782
_cell_length_b 3.151
_cell_length_c 5.903
_cell_angle_alpha 90.00
_cell_angle_beta 90.00
_cell_angle_gamma 90.00
loop_
_atom_site_label
_atom_site_type_symbol
_atom_site_fract_x
_atom_site_fract_y
_atom_site_fract_z
Ce1 Ce 0.500 0.500 0.000
Zn1 Zn 0.000 0.000 0.231
Zn2 Zn 0.000 0.000 0.769
Sn1 Sn 0.500 0.000 0.500
```

## Properties
As for the energy of formation: -0.245 eV/atom. The calculated volume comes out at 22.2 Å³/atom. The space group is Pmmm (47).

***

Material: Tl3AgI2O8
Method: DFT, PBE
State: optimized geometry

Geometry as CIF:
```
data_Tl3AgI2O8
_symmetry_space_group_name_H-M 'P 1'
_symmetry_Int_Tables_number 1
_symmetry_space_group_name_Hall 'P 1'
_cell_length_a 6.307
_cell_length_b 6.307
_cell_length_c 7.971
_cell_angle_alpha 90.00
_cell_angle_beta 90.00
_cell_angle_gamma 120.00
loop_
_atom_site_label
_atom_site_type_symbol
_atom_site_fract_x
_atom_site_fract_y
_atom_site_fract_z
Tl1 Tl 0.333 0.667 0.669
Tl2 Tl 0.667 0.333 0.331
Tl3 Tl 0.000 0.000 0.000
Ag1 Ag 0.000 0.000 0.500
I1 I 0.333 0.667 0.221
I2 I 0.667 0.333 0.779
O1 O 0.333 0.667 0.985
O2 O 0.667 0.333 0.015
O3 O 0.171 0.829 0.309
O4 O 0.829 0.171 0.691
O5 O 0.171 0.341 0.309
O6 O 0.829 0.659 0.691
O7 O 0.659 0.829 0.309
O8 O 0.341 0.171 0.691
```

## Properties
The calculated volume comes out at 19.6 Å³/atom. The calculation puts the energy relative to the elements, uncorrected at -4.28 eV/f.u. The space group is P-3m1 (164).

***

Material: Ba2YSi
Method: DFT, PBE
State: optimized geometry

Geometry as CIF:
```
data_Ba2YSi
_symmetry_space_group_name_H-M 'P 1'
_symmetry_Int_Tables_number 1
_symmetry_space_group_name_Hall 'P 1'
_cell_length_a 11.783
_cell_length_b 11.783
_cell_length_c 8.793
_cell_angle_alpha 47.93
_cell_angle_beta 47.93
_cell_angle_gamma 90.00
loop_
_atom_site_label
_atom_site_type_symbol
_atom_site_fract_x
_atom_site_fract_y
_atom_site_fract_z
Y1 Y 0.000 0.000 0.000
Y2 Y 0.750 0.250 0.500
Si1 Si 0.500 0.500 0.000
Si2 Si 0.250 0.750 0.500
Ba1 Ba 0.484 0.125 0.250
Ba2 Ba 0.266 0.625 0.250
Ba3 Ba 0.375 0.516 0.750
Ba4 Ba 0.875 0.734 0.750
```

## Properties
The calculated volume comes out at 48.8 Å³/atom. The calculation puts the energy relative to the elements, uncorrected at 0.44 eV/f.u. The space group is I-42d (122).

***

Material: NaSiSn
Method: DFT, PBE
State: optimized geometry

Geometry as CIF:
```
data_NaSiSn
_symmetry_space_group_name_H-M 'P 1'
_symmetry_Int_Tables_number 1
_symmetry_space_group_name_Hall 'P 1'
_cell_length_a 3.963
_cell_length_b 5.657
_cell_length_c 7.962
_cell_angle_alpha 79.53
_cell_angle_beta 90.28
_cell_angle_gamma 69.11
loop_
_atom_site_label
_atom_site_type_symbol
_atom_site_fract_x
_atom_site_fract_y
_atom_site_fract_z
Na1 Na 0.586 0.703 0.444
Na2 Na 0.349 0.181 0.718
Si1 Si 0.111 0.656 0.995
Si2 Si 0.645 0.585 0.834
Sn1 Sn 0.876 0.128 0.076
Sn2 Sn 0.289 0.304 0.298
```

## Properties
The calculated volume comes out at 27.3 Å³/atom. The calculation puts the energy relative to the elements, uncorrected at 0.15 eV/f.u. The space group is P1 (1). Its energy above the most stable polymorph in this dataset is 67 meV per atom.

***

Material: CeYGe2O8
Method: DFT, PBE
State: optimized geometry

Geometry as CIF:
```
data_CeYGe2O8
_symmetry_space_group_name_H-M 'P 1'
_symmetry_Int_Tables_number 1
_symmetry_space_group_name_Hall 'P 1'
_cell_length_a 5.121
_cell_length_b 5.121
_cell_length_c 6.694
_cell_angle_alpha 112.49
_cell_angle_beta 112.49
_cell_angle_gamma 90.00
loop_
_atom_site_label
_atom_site_type_symbol
_atom_site_fract_x
_atom_site_fract_y
_atom_site_fract_z
Ce1 Ce 0.750 0.250 0.500
Y1 Y 0.000 0.000 0.000
Ge1 Ge 0.500 0.500 0.000
Ge2 Ge 0.250 0.750 0.500
O1 O 0.738 0.837 0.164
O2 O 0.425 0.327 0.164
O3 O 0.587 0.674 0.663
O4 O 0.076 0.988 0.663
O5 O 0.012 0.413 0.337
O6 O 0.326 0.924 0.337
O7 O 0.163 0.575 0.836
O8 O 0.673 0.262 0.836
```

## Properties
The calculated volume comes out at 12.3 Å³/atom. The calculation puts the energy relative to the elements, uncorrected at -28.46 eV/f.u. The space group is I-4 (82).